No. 1
# TmCuGe

A geometry-optimized TmCuGe structure (PBE-GGA, OQMD via LeMat-Bulk).

The structure belongs to space group F-43m (No. 216); the cell edges are 6.166, 6.166 and 6.166 Å and the angles 90.00°, 90.00° and 90.00°. The inequivalent atoms are Tm at (0.000, 0.000, 0.000), Cu at (0.250, 0.250, 0.750) and Ge at (0.000, 0.000, 0.500).

As for the total energy: -4.847 eV per atom.

***

No. 2
# MgCdTeO

A geometry-optimized MgCdTeO structure (PBE-GGA, OQMD via LeMat-Bulk).

The structure belongs to space group P4/nmm (No. 129, origin choice 2); the cell edges are 3.934, 3.934 and 11.681 Å and the angles 90.00°, 90.00° and 90.00°. The inequivalent atoms are Mg at (0.250, 0.750, 0.000), Cd at (0.250, 0.250, 0.410), Te at (0.250, 0.250, 0.834) and O at (0.250, 0.250, 0.594).

The calculation puts the energy above the most stable polymorph in this dataset at 974 meV/atom.

***

No. 3
# Nd2SiAu

A geometry-optimized Nd2SiAu structure (PBE-GGA, OQMD via LeMat-Bulk).

The structure belongs to space group Pmn2_1 (No. 31); the cell edges are 4.382, 7.835 and 5.990 Å and the angles 90.00°, 90.00° and 90.00°. The inequivalent atoms are Nd at (0.000, 0.071, 0.000), Nd at (0.000, 0.579, 0.229), Si at (0.000, 0.702, 0.718) and Au at (0.000, 0.210, 0.489).

As for the total energy: -5.263 eV per atom.

***

No. 4
# MgCuNiSb

A geometry-optimized MgCuNiSb structure (PBE-GGA, OQMD via LeMat-Bulk).

The structure belongs to space group F-43m (No. 216); the cell edges are 6.306, 6.306 and 6.306 Å and the angles 90.00°, 90.00° and 90.00°. The inequivalent atoms are Mg at (0.000, 0.000, 0.000), Cu at (0.250, 0.250, 0.750), Ni at (0.250, 0.250, 0.250) and Sb at (0.000, 0.000, 0.500).

The calculation puts the energy above the most stable polymorph in this dataset at 0 meV/atom.

***

No. 5
# BaPrW

A geometry-optimized BaPrW structure (PBE-GGA, OQMD via LeMat-Bulk).

The structure belongs to space group F-43m (No. 216); the cell edges are 7.446, 7.446 and 7.446 Å and the angles 90.00°, 90.00° and 90.00°. The inequivalent atoms are Ba at (0.000, 0.000, 0.000), Pr at (0.250, 0.250, 0.250) and W at (0.000, 0.000, 0.500).

The calculation puts the energy above the most stable polymorph in this dataset at 0 meV/atom.

***

No. 6
# CsHg3GeSe4

A geometry-optimized CsHg3GeSe4 structure (PBE-GGA, OQMD via LeMat-Bulk).

The structure belongs to space group P2_1/m (No. 11); the cell edges are 6.809, 7.713 and 12.556 Å and the angles 90.00°, 99.27° and 90.00°. The inequivalent atoms are Cs at (0.237, 0.250, 0.129), Hg at (0.195, 0.065, 0.487), Hg at (0.448, 0.250, 0.789), Ge at (0.047, 0.750, 0.244), Se at (0.162, 0.001, 0.757), Se at (0.202, 0.750, 0.086) and Se at (0.330, 0.750, 0.392).

The calculation puts the energy above the most stable polymorph in this dataset at 0 meV/atom.

***

No. 7
# PmSi2

A geometry-optimized PmSi2 structure (PBE-GGA, OQMD via LeMat-Bulk).

The structure belongs to space group Fd-3m (No. 227, origin choice 2); the cell edges are 7.676, 7.676 and 7.676 Å and the angles 90.00°, 90.00° and 90.00°. The inequivalent atoms are Pm at (0.125, 0.125, 0.125) and Si at (0.000, 0.000, 0.500).

The calculation puts the energy above the most stable polymorph in this dataset at 0 meV/atom.

***

No. 8
# CoTePb

A geometry-optimized CoTePb structure (PBE-GGA, OQMD via LeMat-Bulk).

The structure belongs to space group Pnma (No. 62); the cell edges are 6.058, 3.478 and 13.382 Å and the angles 90.00°, 90.00° and 90.00°. The inequivalent atoms are Co at (0.078, 0.250, 0.242), Te at (0.188, 0.250, 0.842) and Pb at (0.191, 0.250, 0.595).

The calculation puts the energy above the most stable polymorph in this dataset at 0 meV/atom.

***

No. 9
# YTmCF2

A geometry-optimized YTmCF2 structure (PBE-GGA, OQMD via LeMat-Bulk).

The structure belongs to space group P3m1 (No. 156); the cell edges are 3.5966, 3.5966 and 6.2914 Å and the angles 90.00°, 90.00° and 120.00°. The inequivalent atoms are Y at (0.0000, 0.0000, 0.0000), Tm at (0.6667, 0.3333, 0.4226), C at (0.3333, 0.6667, 0.2122), F at (0.0000, 0.0000, 0.5860) and F at (0.6667, 0.3333, 0.8160).

As for the total energy: -7.217 eV per atom.

***

No. 10
# GdHoAl2Pd4

A geometry-optimized GdHoAl2Pd4 structure (PBE-GGA, OQMD via LeMat-Bulk).

The structure belongs to space group P-6m2 (No. 187); the cell edges are 4.3666, 4.3666 and 9.1529 Å and the angles 90.00°, 90.00° and 120.00°. The inequivalent atoms are Gd at (0.0000, 0.0000, 0.0000), Ho at (0.3333, 0.6667, 0.5000), Al at (0.6667, 0.3333, 0.2517), Pd at (0.0000, 0.0000, 0.3324) and Pd at (0.3333, 0.6667, 0.1733).

As for the total energy: -5.621 eV per atom.

***

No. 11
# CoSi64

A geometry-optimized CoSi64 structure (PBE-GGA, OQMD via LeMat-Bulk).

The structure belongs to space group R-3m (No. 166, hexagonal axes); the cell edges are 15.4595, 15.4595 and 18.9825 Å and the angles 90.00°, 90.00° and 120.00°. The inequivalent atoms are Co at (0.0000, 0.0000, 0.0000), Si at (0.0000, 0.0000, 0.1866), Si at (0.0000, 0.0000, 0.3118), Si at (0.9995, 0.2502, 0.1887), Si at (0.0006, 0.2505, 0.6868), Si at (0.0008, 0.5004, 0.6895), Si at (0.0006, 0.5003, 0.8141), Si at (0.0832, 0.1663, 0.3541), Si at (0.0833, 0.1665, 0.4789), Si at (0.0839, 0.1678, 0.8527) and Si at (0.0847, 0.1694, 0.9769).

The calculation puts the energy above the most stable polymorph in this dataset at 4 meV/atom.

***

No. 12
# La3Mg3In2Hg

A geometry-optimized La3Mg3In2Hg structure (PBE-GGA, OQMD via LeMat-Bulk).

The structure belongs to space group P-62m (No. 189); the cell edges are 7.7650, 7.7650 and 4.8227 Å and the angles 90.00°, 90.00° and 120.00°. The inequivalent atoms are La at (0.0000, 0.4200, 0.0000), Mg at (0.0000, 0.7624, 0.5000), In at (0.3333, 0.6667, 0.5000) and Hg at (0.0000, 0.0000, 0.0000).

As for the total energy: -3.241 eV per atom.

***

It is found that the mass density values, taken in the order of the records, are 8.64, 5.15, 8.29, 7.11, 7.43, 5.73, 5.91, 9.28, 7.25, 8.81, 2.35, 6.07 g/cm³.